[1]
Compound: ScSbSe
Source: the Alexandria database
Functional: GGA-PBE
Structure: optimized geometry

Values from the calculation:
Volume in Å³ per cell: 70.5
Electronic total energy in eV per atom: -5.318
Energy relative to the elements, uncorrected in meV/atom: -672

CIF file:
```
data_ScSbSe
_symmetry_space_group_name_H-M 'P -6 m 2'
_symmetry_Int_Tables_number 187
_symmetry_space_group_name_Hall 'P -6 2'
_cell_length_a 4.6464
_cell_length_b 4.6464
_cell_length_c 3.7706
_cell_angle_alpha 90.00
_cell_angle_beta 90.00
_cell_angle_gamma 120.00
loop_
_atom_site_label
_atom_site_fract_x
_atom_site_fract_y
_atom_site_fract_z
Sc1 0.0000 0.0000 0.0000
Sb1 0.3333 0.6667 0.5000
Se1 0.6667 0.3333 0.0000
```



[2]
Compound: Rb3IrS4
Source: the Alexandria database
Functional: GGA-PBE
Structure: optimized geometry

Values from the calculation:
Volume in Å³ per cell: 515.2
Electronic total energy in eV per atom: -4.090
Energy relative to the elements, uncorrected in meV/atom: -556

CIF file:
```
data_Rb3IrS4
_symmetry_space_group_name_H-M 'I 4/m m m'
_symmetry_Int_Tables_number 139
_symmetry_space_group_name_Hall '-I 4 2'
_cell_length_a 7.896
_cell_length_b 7.896
_cell_length_c 8.264
_cell_angle_alpha 90.00
_cell_angle_beta 90.00
_cell_angle_gamma 90.00
loop_
_atom_site_label
_atom_site_fract_x
_atom_site_fract_y
_atom_site_fract_z
Rb1 0.000 0.000 0.000
Rb2 0.000 0.500 0.250
Ir1 0.000 0.000 0.500
S1 0.204 0.204 0.500
```